# 1
InTc2P: optimized geometry, PBE-GGA.

Output
polymorph energy (0 for the lowest one) = 0.116 eV/atom

Cell lengths 7.8443, 3.1971, 5.9022 Å; angles 90.00, 115.68, 90.00 degrees
Space group Cm (No. 8)
Unique sites:
In: 0.0000 0.0000 0.0000 (multiplicity 2)
Tc: 0.1012 0.5000 0.6702 (multiplicity 2)
Tc: 0.3133 0.5000 0.3024 (multiplicity 2)
P: 0.2713 0.0000 0.5574 (multiplicity 2)



# 2
InTc2P: optimized geometry, PBE-GGA.

Output
polymorph energy (0 for the lowest one) = 0.401 eV/atom

Cell lengths 6.2338, 6.2338, 6.2338 Å; angles 90.00, 90.00, 90.00 degrees
Space group Fm-3m (No. 225)
Unique sites:
In: 0.0000 0.0000 0.0000 (multiplicity 4)
Tc: 0.2500 0.2500 0.2500 (multiplicity 8)
P: 0.0000 0.0000 0.5000 (multiplicity 4)



# 3
InTcP2: optimized geometry, PBE-GGA.

Cell lengths 3.1766, 3.1766, 22.5426 Å; angles 90.00, 90.00, 120.00 degrees
Space group R3m (No. 160, hexagonal axes)
Unique sites:
In: 0.0000 0.0000 0.0000 (multiplicity 3)
Tc: 0.0000 0.0000 0.2354 (multiplicity 3)
P: 0.0000 0.0000 0.4999 (multiplicity 3)
P: 0.0000 0.0000 0.7643 (multiplicity 3)



# 4
InTcP2: optimized geometry, PBE-GGA.

Cell lengths 3.3495, 3.8955, 5.3670 Å; angles 90.00, 90.00, 90.00 degrees
Space group Pmmm (No. 47)
Unique sites:
In: 0.0000 0.0000 0.0000 (multiplicity 1)
Tc: 0.5000 0.5000 0.5000 (multiplicity 1)
P: 0.0000 0.0000 0.5000 (multiplicity 1)
P: 0.5000 0.5000 0.0000 (multiplicity 1)



no.,energy of formation from the pure elements (eV/atom),theoretical density (g/cm3)
1,-0.01,8.5
2,0.27,9.4
3,0.16,6.9
4,0.34,6.5